(1)
The following is a PBE calculation of a relaxed structure of Pr14ErTh, from the Alexandria database.

```
Pr14ErTh
1.0
7.3677 0.0000 0.0000
0.0000 7.3677 0.0000
0.0000 0.0000 10.5030
Pr Er Th
14 1 1
direct
0.0000 0.0000 0.0000 Pr
0.0000 0.5000 0.0000 Pr
0.0000 0.5000 0.5000 Pr
0.2483 0.2483 0.2544 Pr
0.2483 0.2483 0.7456 Pr
0.2483 0.7517 0.2544 Pr
0.2483 0.7517 0.7456 Pr
0.5000 0.0000 0.0000 Pr
0.5000 0.0000 0.5000 Pr
0.5000 0.5000 0.0000 Pr
0.7517 0.2483 0.2544 Pr
0.7517 0.2483 0.7456 Pr
0.7517 0.7517 0.2544 Pr
0.7517 0.7517 0.7456 Pr
0.5000 0.5000 0.5000 Er
0.0000 0.0000 0.5000 Th
```

Summary:
* space-group type: P4/mmm

---

(2)
The following is a PBE calculation of a relaxed structure of Pr4Er6Th, from the Alexandria database.

```
Pr4Er6Th
1.0
2.8813 -4.8527 0.0000
2.8813 4.8527 0.0000
0.0000 0.0000 25.9581
Pr Er Th
8 12 2
direct
0.0262 0.9738 0.6238 Pr
0.0262 0.9738 0.8762 Pr
0.3415 0.6585 0.5443 Pr
0.3415 0.6585 0.9557 Pr
0.6585 0.3415 0.0443 Pr
0.6585 0.3415 0.4557 Pr
0.9738 0.0262 0.1238 Pr
0.9738 0.0262 0.3762 Pr
0.0000 0.0000 0.0000 Er
0.0000 0.0000 0.5000 Er
0.0236 0.9764 0.7500 Er
0.3147 0.6853 0.1031 Er
0.3147 0.6853 0.3969 Er
0.3566 0.6434 0.6846 Er
0.3566 0.6434 0.8154 Er
0.6434 0.3566 0.1846 Er
0.6434 0.3566 0.3154 Er
0.6853 0.3147 0.6031 Er
0.6853 0.3147 0.8969 Er
0.9764 0.0236 0.2500 Er
0.3120 0.6880 0.2500 Th
0.6880 0.3120 0.7500 Th
```

Summary:
* space-group type: Cmcm

---

(3)
The following is a PBE calculation of a relaxed structure of PrEr6Th3, from the Alexandria database.

```
PrEr6Th3
1.0
10.2722 0.0000 0.0000
0.0000 5.6167 0.0000
-1.2535 0.0000 11.3985
Pr Er Th
2 12 6
direct
0.0532 0.2500 0.3311 Pr
0.9468 0.7500 0.6689 Pr
0.1529 0.2500 0.6969 Er
0.1677 0.7500 0.1886 Er
0.1853 0.7500 0.4682 Er
0.2187 0.7500 0.9201 Er
0.3533 0.2500 0.2279 Er
0.4499 0.2500 0.9003 Er
0.5501 0.7500 0.0997 Er
0.6467 0.7500 0.7721 Er
0.7813 0.2500 0.0799 Er
0.8147 0.2500 0.5318 Er
0.8323 0.2500 0.8114 Er
0.8471 0.7500 0.3031 Er
0.1017 0.2500 0.0186 Th
0.3593 0.7500 0.7016 Th
0.4560 0.2500 0.5666 Th
0.5440 0.7500 0.4334 Th
0.6407 0.2500 0.2984 Th
0.8983 0.7500 0.9814 Th
```

Summary:
* space-group type: P2_1/m

---

Energy of formation from the pure elements / eV per atom: 0.0239; 0.1274; 0.1838
Total DFT energy (no corrections) / eV/cell: -78.5; -105.0; -105.2
DOS at the Fermi energy / states/eV per cell: 24.4; 36.5; 24.6